# 1
Entry from Alexandria via LeMat-Bulk: TlCrCl4 after structural relaxation (GGA-PBE).

Computed properties:
- crystal system = cubic

abc: 8.5570 8.5570 8.5570
angles: 90.00 90.00 90.00
Last column: nearest neighbours and their distance in Å.
Space group F-43m (No. 216)
One atom of each set of equivalent atoms:
Tl (0.0000, 0.0000, 0.0000) (multiplicity 4)  12 Cl 3.55, 4 Cr 3.71
Cr (0.2500, 0.2500, 0.2500) (multiplicity 4)  12 Cl 3.55, 4 Tl 3.71
Cl (0.1249, 0.1249, 0.6249) (multiplicity 16)  6 Cl 3.02-3.03

# 2
Entry from Alexandria via LeMat-Bulk: Tl2CrCl5 after structural relaxation (GGA-PBE).

Computed properties:
- crystal system = tetragonal

abc: 7.3629 7.3629 9.0788
angles: 90.00 90.00 90.00
Last column: nearest neighbours and their distance in Å.
Space group I4mm (No. 107)
One atom of each set of equivalent atoms:
Tl (0.0000, 0.5000, 0.0000) (multiplicity 4)  10 Cl 3.31-3.68
Cr (0.0000, 0.0000, 0.2414) (multiplicity 2)  5 Cl 2.21-2.32
Cl (0.0000, 0.0000, 0.9981) (multiplicity 2)  1 Cr 2.21
Cl (0.2209, 0.2209, 0.2772) (multiplicity 8)  1 Cr 2.32

# 3
Entry from Alexandria via LeMat-Bulk: Tl3Cr5Cl12 after structural relaxation (GGA-PBE).

Computed properties:
- crystal system = cubic

abc: 16.3185 16.3185 16.3185
angles: 90.00 90.00 90.00
Last column: nearest neighbours and their distance in Å.
Space group Ia-3d (No. 230)
One atom of each set of equivalent atoms:
Tl (0.0000, 0.2500, 0.1250) (multiplicity 24)  8 Cl 3.23-3.39
Cr (0.0000, 0.0000, 0.0000) (multiplicity 16)  6 Cl 2.50
Cr (0.0000, 0.2500, 0.3750) (multiplicity 24)  4 Cl 2.42
Cl (0.0343, 0.0457, 0.6422) (multiplicity 96)  2 Cr 2.42-2.50

# 4
Entry from Alexandria via LeMat-Bulk: Tl3CrCl7 after structural relaxation (GGA-PBE).

Computed properties:
- crystal system = tetragonal

abc: 9.6780 9.6780 6.7397
angles: 90.00 90.00 90.00
Last column: nearest neighbours and their distance in Å.
Space group P4/mbm (No. 127)
One atom of each set of equivalent atoms:
Tl (0.0000, 0.0000, 0.0000) (multiplicity 2)  6 Cl 3.37-3.60
Tl (0.1692, 0.3308, 0.5000) (multiplicity 4)  10 Cl 3.30-3.60
Cr (0.0000, 0.5000, 0.0000) (multiplicity 2)  6 Cl 2.30
Cl (0.0000, 0.0000, 0.5000) (multiplicity 2)  6 Tl 3.37-3.60
Cl (0.1173, 0.6173, 0.2441) (multiplicity 8)  1 Cr 2.30
Cl (0.1682, 0.3318, 0.0000) (multiplicity 4)  1 Cr 2.30

# 5
Entry from Alexandria via LeMat-Bulk: TlCrCl2 after structural relaxation (GGA-PBE).

Computed properties:
- crystal system = cubic

abc: 7.2340 7.2340 7.2340
angles: 90.00 90.00 90.00
Last column: nearest neighbours and their distance in Å.
Space group F-43m (No. 216)
One atom of each set of equivalent atoms:
Tl (0.0000, 0.0000, 0.0000) (multiplicity 4)  4 Cr 3.13, 4 Cl 3.13
Cr (0.2500, 0.2500, 0.2500) (multiplicity 4)  4 Cl 3.13, 4 Tl 3.13
Cl (0.0000, 0.0000, 0.5000) (multiplicity 4)  4 Cl 3.13, 4 Cr 3.13
Cl (0.2500, 0.2500, 0.7500) (multiplicity 4)  4 Tl 3.13, 4 Cl 3.13

# 6
Entry from Alexandria via LeMat-Bulk: TlCrCl2 after structural relaxation (GGA-PBE).

Computed properties:
- crystal system = monoclinic

abc: 11.7425 3.4420 6.0014
angles: 90.00 116.35 90.00
Last column: nearest neighbours and their distance in Å.
Space group Cm (No. 8)
One atom of each set of equivalent atoms:
Tl (0.0000, 0.0000, 0.0000) (multiplicity 2)  3 Cr 3.26-3.46, 3 Cl 3.39-3.49, 2 Tl 3.44
Cr (0.2606, 0.0000, 0.5200) (multiplicity 2)  4 Cl 2.38-2.39
Cl (0.1699, 0.5000, 0.6661) (multiplicity 2)  2 Cr 2.39
Cl (0.3420, 0.5000, 0.3557) (multiplicity 2)  2 Cr 2.38

# 7
Entry from Alexandria via LeMat-Bulk: TlCrCl2 after structural relaxation (GGA-PBE).

Computed properties:
- crystal system = tetragonal

abc: 4.1461 4.1461 12.3825
angles: 90.00 90.00 90.00
Last column: nearest neighbours and their distance in Å.
Space group I-4m2 (No. 119)
One atom of each set of equivalent atoms:
Tl (0.0000, 0.0000, 0.0000) (multiplicity 2)  4 Cl 2.93
Cr (0.0000, 0.5000, 0.2500) (multiplicity 2)  4 Cl 2.93
Cl (0.0000, 0.0000, 0.5000) (multiplicity 2)  4 Tl 2.93
Cl (0.0000, 0.5000, 0.7500) (multiplicity 2)  4 Cr 2.93

# 8
Entry from Alexandria via LeMat-Bulk: TlCrCl2 after structural relaxation (GGA-PBE).

Computed properties:
- crystal system = cubic

abc: 7.2965 7.2965 7.2965
angles: 90.00 90.00 90.00
Last column: nearest neighbours and their distance in Å.
Space group Fm-3m (No. 225)
One atom of each set of equivalent atoms:
Tl (0.0000, 0.0000, 0.0000) (multiplicity 4)  8 Cl 3.16
Cr (0.0000, 0.0000, 0.5000) (multiplicity 4)  8 Cl 3.16
Cl (0.2500, 0.2500, 0.2500) (multiplicity 8)  4 Tl 3.16, 4 Cr 3.16

# 9
Entry from Alexandria via LeMat-Bulk: TlCrCl2 after structural relaxation (GGA-PBE).

Computed properties:
- crystal system = orthorhombic

abc: 3.4801 6.6969 9.4931
angles: 90.00 90.00 90.00
Last column: nearest neighbours and their distance in Å.
Space group Cmmm (No. 65)
One atom of each set of equivalent atoms:
Tl (0.0000, 0.0000, 0.0000) (multiplicity 2)  6 Tl 3.48-3.77, 4 Cl 3.55
Cr (0.0000, 0.0000, 0.5000) (multiplicity 2)  4 Cl 2.40
Cl (0.0000, 0.5000, 0.3256) (multiplicity 4)  2 Cr 2.40

# 10
Entry from Alexandria via LeMat-Bulk: TlCrCl2 after structural relaxation (GGA-PBE).

Computed properties:
- crystal system = orthorhombic

abc: 4.0608 4.8737 11.9334
angles: 90.00 90.00 90.00
Last column: nearest neighbours and their distance in Å.
Space group Amm2 (No. 38)
One atom of each set of equivalent atoms:
Tl (0.0000, 0.0000, 0.0000) (multiplicity 2)  5 Cl 3.21-3.30, 4 Cr 3.49
Cr (0.5000, 0.0000, 0.6211) (multiplicity 2)  3 Cl 2.34-2.42
Cl (0.0000, 0.0000, 0.7312) (multiplicity 2)  2 Cr 2.42
Cl (0.5000, 0.0000, 0.4250) (multiplicity 2)  1 Cr 2.34

# 11
Entry from Alexandria via LeMat-Bulk: Tl5CrCl8 after structural relaxation (GGA-PBE).

Computed properties:
- crystal system = cubic

abc: 12.8333 12.8333 12.8333
angles: 90.00 90.00 90.00
Last column: nearest neighbours and their distance in Å.
Space group F-43m (No. 216)
One atom of each set of equivalent atoms:
Tl (0.0000, 0.0000, 0.0000) (multiplicity 4)  4 Cl 3.10
Tl (0.1264, 0.1264, 0.3736) (multiplicity 16)  3 Cl 3.01
Cr (0.2500, 0.2500, 0.7500) (multiplicity 4)  4 Cl 2.22
Cl (0.1396, 0.1396, 0.1396) (multiplicity 16)  4 Tl 3.01-3.10
Cl (0.1499, 0.1499, 0.6499) (multiplicity 16)  1 Cr 2.22

# 12
Entry from Alexandria via LeMat-Bulk: TlCrCl2 after structural relaxation (GGA-PBE).

Computed properties:
- crystal system = orthorhombic

abc: 3.4700 6.1756 9.9535
angles: 90.00 90.00 90.00
Last column: nearest neighbours and their distance in Å.
Space group Immm (No. 71)
One atom of each set of equivalent atoms:
Tl (0.0000, 0.0000, 0.0000) (multiplicity 2)  2 Tl 3.47, 8 Cl 3.51-3.74, 4 Cr 3.54
Cr (0.0000, 0.0000, 0.5000) (multiplicity 2)  4 Cl 2.41
Cl (0.0000, 0.5000, 0.1674) (multiplicity 4)  2 Cr 2.41

# 13
Entry from Alexandria via LeMat-Bulk: TlCrCl2 after structural relaxation (GGA-PBE).

Computed properties:
- crystal system = orthorhombic

abc: 3.6490 5.1238 5.2147
angles: 90.00 90.00 90.00
Last column: nearest neighbours and their distance in Å.
Space group Pmmm (No. 47)
One atom of each set of equivalent atoms:
Tl (0.0000, 0.0000, 0.0000) (multiplicity 1)  8 Cl 3.15-3.18
Cr (0.0000, 0.5000, 0.5000) (multiplicity 1)  8 Cl 3.15-3.18
Cl (0.5000, 0.0000, 0.5000) (multiplicity 1)  4 Cr 3.15, 4 Tl 3.18
Cl (0.5000, 0.5000, 0.0000) (multiplicity 1)  4 Tl 3.15, 4 Cr 3.18

# 14
Entry from Alexandria via LeMat-Bulk: TlCrCl2 after structural relaxation (GGA-PBE).

Computed properties:
- crystal system = tetragonal

abc: 7.7466 7.7466 7.1273
angles: 90.00 90.00 90.00
Last column: nearest neighbours and their distance in Å.
Space group I-42d (No. 122)
One atom of each set of equivalent atoms:
Tl (0.0000, 0.0000, 0.0000) (multiplicity 4)  8 Cl 3.36-3.54, 2 Cr 3.56
Cr (0.0000, 0.0000, 0.5000) (multiplicity 4)  4 Cl 2.48
Cl (0.1648, 0.2500, 0.6250) (multiplicity 8)  2 Cr 2.48

# 15
Entry from Alexandria via LeMat-Bulk: TmTlCrCl6 after structural relaxation (GGA-PBE).

Computed properties:
- crystal system = monoclinic

abc: 6.9259 11.2678 7.1908
angles: 90.00 93.02 90.00
Last column: nearest neighbours and their distance in Å.
Space group C2 (No. 5)
One atom of each set of equivalent atoms:
Tm (0.0000, 0.0000, 0.0000) (multiplicity 2)  6 Cl 2.55-2.66
Tl (0.0000, 0.6737, 0.5000) (multiplicity 2)  6 Cl 3.15-3.38
Cr (0.0000, 0.3401, 0.0000) (multiplicity 2)  4 Cl 2.40-2.41
Cl (0.1238, 0.1855, 0.2020) (multiplicity 4)  1 Cr 2.40, 1 Tm 2.66
Cl (0.1769, 0.8616, 0.2329) (multiplicity 4)  1 Tm 2.55
Cl (0.1780, 0.4875, 0.1824) (multiplicity 4)  1 Cr 2.41, 1 Tm 2.65

# 16
Entry from Alexandria via LeMat-Bulk: UTl2CrCl8 after structural relaxation (GGA-PBE).

Computed properties:
- crystal system = triclinic

abc: 6.7683 7.7063 8.0773
angles: 76.20 73.06 73.75
Last column: nearest neighbours and their distance in Å.
Space group P-1 (No. 2)
One atom of each set of equivalent atoms:
U (0.0000, 0.0000, 0.0000) (multiplicity 1)  6 Cl 2.60-2.71
Tl (0.3932, 0.3696, 0.3286) (multiplicity 2)  6 Cl 3.11-3.43
Cr (0.0000, 0.0000, 0.5000) (multiplicity 1)  4 Cl 2.35-2.44
Cl (0.1721, 0.6880, 0.5419) (multiplicity 2)  1 Cr 2.35
Cl (0.2027, 0.6574, 0.0185) (multiplicity 2)  1 U 2.60
Cl (0.2265, 0.0485, 0.2052) (multiplicity 2)  1 Cr 2.44, 1 U 2.71
Cl (0.2657, 0.0760, 0.6986) (multiplicity 2)  1 U 2.62

# 17
Entry from Alexandria via LeMat-Bulk: TlVCrCl6 after structural relaxation (GGA-PBE).

Computed properties:
- crystal system = trigonal

abc: 6.3279 6.3279 14.4111
angles: 90.00 90.00 120.00
Last column: nearest neighbours and their distance in Å.
Space group P-31c (No. 163)
One atom of each set of equivalent atoms:
Tl (0.0000, 0.0000, 0.0000) (multiplicity 2)  6 Cl 3.23
V (0.3333, 0.6667, 0.2500) (multiplicity 2)  6 Cl 2.44
Cr (0.3333, 0.6667, 0.7500) (multiplicity 2)  6 Cl 2.41
Cl (0.0041, 0.3691, 0.6559) (multiplicity 12)  1 Cr 2.41, 1 V 2.44

# 18
Entry from Alexandria via LeMat-Bulk: Tl2VCrCl6 after structural relaxation (GGA-PBE).

Computed properties:
- crystal system = monoclinic

abc: 6.7492 6.7520 12.9169
angles: 90.00 121.41 90.00
Last column: nearest neighbours and their distance in Å.
Space group P2_1/c (No. 14)
One atom of each set of equivalent atoms:
Tl (0.2491, 0.0078, 0.2500) (multiplicity 4)  8 Cl 3.29-3.43
V (0.5000, 0.0000, 0.0000) (multiplicity 2)  6 Cl 2.48-2.49
Cr (0.0000, 0.0000, 0.5000) (multiplicity 2)  4 Cl 2.41
Cl (0.1827, 0.1954, 0.9960) (multiplicity 4)  1 Cr 2.41, 1 V 2.49
Cl (0.2814, 0.5017, 0.2748) (multiplicity 4)  1 V 2.48
Cl (0.3018, 0.6867, 0.9971) (multiplicity 4)  1 Cr 2.41, 1 V 2.49

# 19
Entry from Alexandria via LeMat-Bulk: TlVCr2Cl8 after structural relaxation (GGA-PBE).

Computed properties:
- crystal system = trigonal

abc: 6.3797 6.3797 26.8230
angles: 90.00 90.00 120.00
Last column: nearest neighbours and their distance in Å.
Space group R-3 (No. 148, hexagonal axes)
One atom of each set of equivalent atoms:
Tl (0.0000, 0.0000, 0.0000) (multiplicity 3)  12 Cl 3.71
V (0.0000, 0.0000, 0.5000) (multiplicity 3)  6 Cl 2.42
Cr (0.0000, 0.0000, 0.2323) (multiplicity 6)  4 Cl 2.24-2.37
Cl (0.0000, 0.0000, 0.3157) (multiplicity 6)  1 Cr 2.24
Cl (0.0116, 0.3721, 0.2189) (multiplicity 18)  1 Cr 2.37, 1 V 2.42

# 20
Entry from Alexandria via LeMat-Bulk: TlVCr2Cl after structural relaxation (GGA-PBE).

Computed properties:
- crystal system = tetragonal

abc: 5.2787 5.2787 5.6213
angles: 90.00 90.00 90.00
Last column: nearest neighbours and their distance in Å.
Space group P4/mmm (No. 123)
One atom of each set of equivalent atoms:
Tl (0.0000, 0.0000, 0.0000) (multiplicity 1)  4 Cr 2.64, 2 Cl 2.81
V (0.5000, 0.5000, 0.5000) (multiplicity 1)  4 Cl 3.73, 8 Cr 3.86
Cr (0.0000, 0.5000, 0.0000) (multiplicity 2)  2 Tl 2.64
Cl (0.0000, 0.0000, 0.5000) (multiplicity 1)  2 Tl 2.81

Formation energy without anion corrections values, unit meV/atom, following the record order: 282; -1037; -870; -945; -53; -591; -277; -292; -586; -522; -965; -603; -301; -555; -1565; -1300; -1134; -1005; -950; 1581.
E_tot values, unit eV per cell, following the record order: -70.7; -63.8; -758.3; -80.1; -63.6; -36.1; -33.6; -67.4; -36.1; -35.5; -198.9; -36.2; -16.9; -71.6; -83.3; -56.0; -84.8; -89.2; -170.7; -24.7.